Entry from Alexandria via LeMat-Bulk: a relaxed structure of Na2BiSbH (PBE).

Output
theoretical density	5.6	g/cm3
symmetry	P4/mmm (123)
excess energy over the best structure of this formula in the dataset	0.022	eV per atom

Cell lengths 4.983, 4.983, 4.548 Å; angles 90.00, 90.00, 90.00 degrees
Sites, in units of the cell vectors:
Sb (0.000, 0.000, 0.500)
Bi (0.500, 0.500, 0.500)
H (0.000, 0.000, 0.000)
Na (0.000, 0.500, 0.000)
Na (0.500, 0.000, 0.000)

---

Entry from Alexandria via LeMat-Bulk: a relaxed structure of TaNi7Sn2Pt2 (PBE).

Output
theoretical density	11.6	g/cm3
symmetry	C2/m (12)
calculated formation energy	-187.6	meV/atom

Cell lengths 3.550, 3.550, 14.091 Å; angles 82.83, 82.83, 89.98 degrees
Sites, in units of the cell vectors:
Ta (0.000, 0.000, 0.000)
Ni (0.500, 0.500, 0.000)
Ni (0.268, 0.268, 0.461)
Ni (0.732, 0.732, 0.539)
Ni (0.934, 0.434, 0.133)
Ni (0.434, 0.934, 0.133)
Ni (0.566, 0.066, 0.867)
Ni (0.066, 0.566, 0.867)
Sn (0.822, 0.822, 0.358)
Sn (0.178, 0.178, 0.642)
Pt (0.634, 0.634, 0.729)
Pt (0.366, 0.366, 0.271)

---

Entry from Alexandria via LeMat-Bulk: a relaxed structure of Tb2MnCo (PBE).

Output
theoretical density	8.8	g/cm3
symmetry	P4/mmm (123)
calculated formation energy	58.6	meV/atom

Cell lengths 3.408, 3.408, 7.046 Å; angles 90.00, 90.00, 90.00 degrees
Sites, in units of the cell vectors:
Co (0.500, 0.500, 0.000)
Mn (0.500, 0.500, 0.500)
Tb (0.000, 0.000, 0.766)
Tb (0.000, 0.000, 0.234)

---

Entry from Alexandria via LeMat-Bulk: a relaxed structure of Li5SiAu (PBE).

Output
theoretical density	3.6	g/cm3
electronic total energy	-2.860	eV per atom
symmetry	P4/mmm (123)

Cell lengths 4.328, 4.328, 12.660 Å; angles 90.00, 90.00, 89.95 degrees
Sites, in units of the cell vectors:
Li (0.500, 0.000, 0.876)
Li (0.500, 0.000, 0.376)
Li (0.000, 0.500, 0.376)
Li (0.000, 0.000, 0.750)
Li (0.000, 0.500, 0.124)
Li (0.000, 0.500, 0.876)
Li (0.000, 0.000, 0.250)
Li (0.000, 0.500, 0.624)
Li (0.500, 0.000, 0.624)
Li (0.500, 0.000, 0.124)
Si (0.500, 0.500, 0.750)
Si (0.500, 0.500, 0.250)
Au (0.000, 0.000, 0.000)
Au (0.000, 0.000, 0.500)

---

Entry from Alexandria via LeMat-Bulk: a relaxed structure of TiTeSeI2 (PBE).

Output
theoretical density	4.7	g/cm3
symmetry	P4/mmm (123)
excess energy over the best structure of this formula in the dataset	0.542	eV per atom

Cell lengths 5.650, 5.650, 5.624 Å; angles 90.00, 90.00, 90.00 degrees
Sites, in units of the cell vectors:
I (0.000, 0.500, 0.000)
I (0.500, 0.000, 0.000)
Te (0.000, 0.000, 0.500)
Se (0.000, 0.000, 0.000)
Ti (0.500, 0.500, 0.500)

---

Entry from Alexandria via LeMat-Bulk: a relaxed structure of Tm2PSe (PBE).

Output
theoretical density	8.3	g/cm3
symmetry	Pmmn (59)
excess energy over the best structure of this formula in the dataset	0.005	eV per atom

Cell lengths 3.967, 5.615, 8.046 Å; angles 90.00, 90.00, 90.00 degrees
Sites, in units of the cell vectors:
Tm (0.000, 0.000, 0.852)
Tm (0.000, 0.000, 0.390)
Tm (0.500, 0.500, 0.610)
Tm (0.500, 0.500, 0.148)
P (0.500, 0.000, 0.624)
P (0.000, 0.500, 0.376)
Se (0.000, 0.500, 0.880)
Se (0.500, 0.000, 0.120)

---

Entry from Alexandria via LeMat-Bulk: a relaxed structure of TbTm2ThS4 (PBE).

Output
theoretical density	8.4	g/cm3
electronic total energy	-6.602	eV per atom
symmetry	P2/m (10)

Cell lengths 3.875, 6.864, 6.757 Å; angles 71.00, 90.00, 90.00 degrees
Sites, in units of the cell vectors:
Tb (0.000, 0.500, 0.500)
Tm (0.000, 0.000, 0.000)
Tm (0.500, 0.000, 0.500)
Th (0.500, 0.500, 0.000)
S (0.000, 0.767, 0.739)
S (0.000, 0.233, 0.261)
S (0.500, 0.763, 0.251)
S (0.500, 0.237, 0.749)

---

Entry from Alexandria via LeMat-Bulk: a relaxed structure of Ti2SbPbO8 (PBE).

Output
theoretical density	6.1	g/cm3
electronic total energy	-7.304	eV per atom
symmetry	C2/m (12)

Cell lengths 4.811, 4.811, 6.503 Å; angles 88.92, 88.92, 88.04 degrees
Sites, in units of the cell vectors:
Ti (0.468, 0.468, 0.752)
Ti (0.532, 0.532, 0.248)
Sb (0.000, 0.000, 0.000)
Pb (0.000, 0.000, 0.500)
O (0.207, 0.789, 0.221)
O (0.702, 0.702, 0.014)
O (0.789, 0.207, 0.221)
O (0.793, 0.211, 0.779)
O (0.298, 0.298, 0.986)
O (0.211, 0.793, 0.779)
O (0.672, 0.672, 0.485)
O (0.328, 0.328, 0.515)

---

Entry from Alexandria via LeMat-Bulk: a relaxed structure of Tb3ZrBi4 (PBE).

Output
theoretical density	9.5	g/cm3
symmetry	P2/c (13)
calculated formation energy	-701.2	meV/atom

Cell lengths 7.644, 7.665, 8.869 Å; angles 90.00, 90.00, 109.54 degrees
Sites, in units of the cell vectors:
Tb (0.750, 0.000, 0.374)
Tb (0.250, 0.000, 0.626)
Tb (0.750, 0.500, 0.625)
Tb (0.750, 0.500, 0.125)
Tb (0.250, 0.500, 0.375)
Tb (0.250, 0.500, 0.875)
Bi (0.995, 0.245, 0.630)
Bi (0.500, 0.240, 0.880)
Bi (0.495, 0.245, 0.370)
Bi (0.000, 0.240, 0.120)
Bi (0.000, 0.760, 0.880)
Bi (0.505, 0.755, 0.630)
Bi (0.500, 0.760, 0.120)
Bi (0.005, 0.755, 0.370)
Zr (0.750, 0.000, 0.876)
Zr (0.250, 0.000, 0.124)

---

Entry from Alexandria via LeMat-Bulk: a relaxed structure of Y2ZrS5 (PBE).

Output
theoretical density	3.2	g/cm3
symmetry	Cmcm (63)
excess energy over the best structure of this formula in the dataset	0.056	eV per atom

Cell lengths 5.222, 7.073, 12.802 Å; angles 90.00, 90.00, 111.66 degrees
Sites, in units of the cell vectors:
Y (0.854, 0.709, 0.439)
Y (0.854, 0.709, 0.061)
Y (0.146, 0.291, 0.561)
Y (0.146, 0.291, 0.939)
Zr (0.808, 0.616, 0.750)
Zr (0.192, 0.384, 0.250)
S (0.951, 0.902, 0.877)
S (0.951, 0.902, 0.623)
S (0.309, 0.618, 0.418)
S (0.309, 0.618, 0.082)
S (0.740, 0.480, 0.250)
S (0.260, 0.520, 0.750)
S (0.691, 0.382, 0.582)
S (0.691, 0.382, 0.918)
S (0.049, 0.098, 0.123)
S (0.049, 0.098, 0.377)

---

Entry from Alexandria via LeMat-Bulk: a relaxed structure of Li2YPb2 (PBE).

Output
theoretical density	7.5	g/cm3
symmetry	P4/mbm (127)
excess energy over the best structure of this formula in the dataset	0.024	eV per atom
calculated formation energy	-346.3	meV/atom

Cell lengths 8.370, 8.370, 3.290 Å; angles 90.00, 90.00, 90.00 degrees
Sites, in units of the cell vectors:
Pb (0.180, 0.680, 0.500)
Pb (0.680, 0.820, 0.500)
Pb (0.820, 0.320, 0.500)
Pb (0.320, 0.180, 0.500)
Y (0.000, 0.000, 0.000)
Y (0.500, 0.500, 0.000)
Li (0.386, 0.886, 0.000)
Li (0.886, 0.614, 0.000)
Li (0.614, 0.114, 0.000)
Li (0.114, 0.386, 0.000)

---

Entry from Alexandria via LeMat-Bulk: a relaxed structure of CuTc2W (PBE).

Output
theoretical density	12.7	g/cm3
symmetry	Pmmm (47)
excess energy over the best structure of this formula in the dataset	0.068	eV per atom
calculated formation energy	225.5	meV/atom

Cell lengths 2.761, 3.837, 5.469 Å; angles 90.00, 90.00, 90.00 degrees
Sites, in units of the cell vectors:
Cu (0.500, 0.500, 0.750)
Tc (0.000, 0.000, 0.988)
Tc (0.000, 0.000, 0.512)
W (0.500, 0.500, 0.250)

---

Entry from Alexandria via LeMat-Bulk: a relaxed structure of ZrCoB3 (PBE).

Output
theoretical density	5.7	g/cm3
symmetry	Pm-3m (221)
excess energy over the best structure of this formula in the dataset	0.888	eV per atom
calculated formation energy	243.0	meV/atom

Cell lengths 3.768, 3.768, 3.768 Å; angles 90.00, 90.00, 90.00 degrees
Sites, in units of the cell vectors:
B (0.000, 0.500, 0.000)
B (0.000, 0.000, 0.500)
B (0.500, 0.000, 0.000)
Co (0.000, 0.000, 0.000)
Zr (0.500, 0.500, 0.500)

---

Entry from Alexandria via LeMat-Bulk: a relaxed structure of ScIr4Ru (PBE).

Output
theoretical density	15.5	g/cm3
symmetry	F-43m (216)
calculated formation energy	-32.6	meV/atom

Cell lengths 5.180, 5.180, 5.180 Å; angles 60.00, 60.00, 60.00 degrees
Sites, in units of the cell vectors:
Sc (0.000, 0.000, 0.000)
Ir (0.875, 0.375, 0.375)
Ir (0.375, 0.375, 0.875)
Ir (0.375, 0.875, 0.375)
Ir (0.375, 0.375, 0.375)
Ru (0.750, 0.750, 0.750)

---

Entry from Alexandria via LeMat-Bulk: a relaxed structure of La2MgBe (PBE).

Output
theoretical density	4.8	g/cm3
symmetry	Fm-3m (225)
excess energy over the best structure of this formula in the dataset	0.080	eV per atom
calculated formation energy	121.4	meV/atom

Cell lengths 5.347, 5.347, 5.347 Å; angles 60.00, 60.00, 60.00 degrees
Sites, in units of the cell vectors:
Be (0.000, 0.000, 0.000)
Mg (0.500, 0.500, 0.500)
La (0.250, 0.250, 0.250)
La (0.750, 0.750, 0.750)

---

Entry from Alexandria via LeMat-Bulk: a relaxed structure of DyTm6Tl5 (PBE).

Output
theoretical density	11.2	g/cm3
symmetry	Immm (71)
calculated formation energy	-242.8	meV/atom

Cell lengths 4.959, 8.733, 9.048 Å; angles 118.86, 105.91, 90.00 degrees
Sites, in units of the cell vectors:
Tl (0.647, 0.147, 0.294)
Tl (0.319, 0.319, 0.638)
Tl (0.000, 0.500, 0.000)
Tl (0.681, 0.681, 0.362)
Tl (0.353, 0.853, 0.706)
Tm (0.830, 0.566, 0.661)
Tm (0.830, 0.095, 0.661)
Tm (0.500, 0.724, 0.000)
Tm (0.500, 0.276, 0.000)
Tm (0.170, 0.905, 0.339)
Tm (0.170, 0.434, 0.339)
Dy (0.000, 0.000, 0.000)

---

Entry from Alexandria via LeMat-Bulk: a relaxed structure of Rb2BiBSe4 (PBE).

Output
theoretical density	4.0	g/cm3
electronic total energy	-3.847	eV per atom
symmetry	Fddd (70)

Cell lengths 6.591, 7.877, 12.902 Å; angles 83.87, 75.20, 65.27 degrees
Sites, in units of the cell vectors:
Rb (0.183, 0.000, 0.634)
Rb (0.817, 0.000, 0.366)
Rb (0.567, 0.500, 0.866)
Rb (0.933, 0.500, 0.134)
Bi (0.750, 0.500, 0.500)
Bi (0.000, 0.000, 0.000)
B (0.250, 0.500, 0.500)
B (0.500, 0.000, 0.000)
Se (0.367, 0.822, 0.100)
Se (0.289, 0.178, 0.900)
Se (0.811, 0.822, 0.900)
Se (0.534, 0.178, 0.100)
Se (0.383, 0.678, 0.400)
Se (0.461, 0.322, 0.600)
Se (0.939, 0.678, 0.600)
Se (0.216, 0.322, 0.400)

---

Entry from Alexandria via LeMat-Bulk: a relaxed structure of ThMg2 (PBE).

Output
theoretical density	6.0	g/cm3
symmetry	P6_3/mmc (194)
calculated formation energy	18.6	meV/atom

Cell lengths 6.043, 6.043, 19.786 Å; angles 90.00, 90.00, 120.00 degrees
Sites, in units of the cell vectors:
Th (0.333, 0.667, 0.844)
Th (0.000, 0.000, 0.092)
Th (0.000, 0.000, 0.908)
Th (0.667, 0.333, 0.156)
Th (0.000, 0.000, 0.592)
Th (0.667, 0.333, 0.344)
Th (0.000, 0.000, 0.408)
Th (0.333, 0.667, 0.656)
Mg (0.500, 0.500, 0.500)
Mg (0.838, 0.162, 0.750)
Mg (0.667, 0.333, 0.874)
Mg (0.162, 0.324, 0.250)
Mg (0.324, 0.162, 0.750)
Mg (0.838, 0.676, 0.750)
Mg (0.500, 0.000, 0.500)
Mg (0.676, 0.838, 0.250)
Mg (0.500, 0.500, 0.000)
Mg (0.162, 0.838, 0.250)
Mg (0.333, 0.667, 0.374)
Mg (0.000, 0.500, 0.000)
Mg (0.667, 0.333, 0.626)
Mg (0.000, 0.500, 0.500)
Mg (0.333, 0.667, 0.126)
Mg (0.500, 0.000, 0.000)

---

Entry from Alexandria via LeMat-Bulk: a relaxed structure of Ga4FeIr5 (PBE).

Output
theoretical density	15.2	g/cm3
symmetry	P4/mmm (123)
calculated formation energy	-316.7	meV/atom

Cell lengths 3.042, 3.042, 15.302 Å; angles 90.00, 90.00, 90.00 degrees
Sites, in units of the cell vectors:
Ga (0.000, 0.000, 0.197)
Ga (0.000, 0.000, 0.399)
Ga (0.000, 0.000, 0.601)
Ga (0.000, 0.000, 0.803)
Fe (0.000, 0.000, 0.000)
Ir (0.500, 0.500, 0.100)
Ir (0.500, 0.500, 0.300)
Ir (0.500, 0.500, 0.500)
Ir (0.500, 0.500, 0.700)
Ir (0.500, 0.500, 0.900)

---

Entry from Alexandria via LeMat-Bulk: a relaxed structure of CoAgCl2 (PBE).

Output
theoretical density	4.6	g/cm3
symmetry	R3m (160)
excess energy over the best structure of this formula in the dataset	0.038	eV per atom

Cell lengths 7.422, 7.422, 7.422 Å; angles 29.00, 29.00, 29.00 degrees
Sites, in units of the cell vectors:
Co (0.509, 0.509, 0.509)
Ag (0.758, 0.758, 0.758)
Cl (0.025, 0.025, 0.025)
Cl (0.208, 0.208, 0.208)